# 1
Entry from the Alexandria database: an optimized crystal structure of Y2Er2Mg (PBE). Values from VASP.

Structure (Quantum ESPRESSO input):
```
&SYSTEM
  ibrav = 0, nat = 10, ntyp = 3
/
ATOMIC_SPECIES
Y 88.91 Y.upf
Er 167.26 Er.upf
Mg 24.30 Mg.upf
ATOMIC_POSITIONS crystal
Y 0.4064 0.3593 0.8128
Y 0.5936 0.1407 0.1872
Y 0.4064 0.8593 0.8128
Y 0.5936 0.6407 0.1872
Er 0.1983 0.5477 0.3967
Er 0.8016 0.9523 0.6033
Er 0.8017 0.4523 0.6033
Er 0.1984 0.0477 0.3967
Mg 0.0000 0.2500 0.0000
Mg 0.0000 0.7500 0.0000
CELL_PARAMETERS angstrom
3.4376 0.0000 -0.9403
-0.8119 6.4420 -2.9681
1.6833 0.2311 12.9074
```

Computed properties:
Its crystal system is tetragonal. For the total DFT energy (no corrections), the calculation gives -47.5 eV/cell. The energy of formation from the pure elements comes out at -18 meV per atom. Its symmetry is I4/mmm, No. 139.

=====

# 2
Entry from the Alexandria database: an optimized crystal structure of BiSbAuN2 (PBE). Values from VASP.

Structure (Quantum ESPRESSO input):
```
&SYSTEM
  ibrav = 0, nat = 5, ntyp = 4
/
ATOMIC_SPECIES
Au 196.97 Au.upf
Bi 208.98 Bi.upf
Sb 121.76 Sb.upf
N 14.01 N.upf
ATOMIC_POSITIONS crystal
Au 0.0000 0.0000 0.0000
Bi 0.0000 0.5000 0.0000
Sb 0.5000 0.5000 0.5000
N 0.5000 0.0000 0.0000
N 0.0000 0.0000 0.5000
CELL_PARAMETERS angstrom
4.3052 0.0000 0.0000
0.0000 5.9645 0.0000
0.0000 0.0000 4.3052
```

Computed properties:
Its crystal system is tetragonal. For the total DFT energy (no corrections), the calculation gives -19.5 eV/cell. The formation energy without anion corrections is 1.68 eV/atom. Its symmetry is P4/mmm, No. 123.

=====

# 3
Entry from the Alexandria database: an optimized crystal structure of Nd2UPaN4 (PBE). Values from VASP.

Structure (Quantum ESPRESSO input):
```
&SYSTEM
  ibrav = 0, nat = 8, ntyp = 4
/
ATOMIC_SPECIES
Pa 231.04 Pa.upf
U 238.03 U.upf
N 14.01 N.upf
Nd 144.24 Nd.upf
ATOMIC_POSITIONS crystal
Pa 0.0000 0.0000 0.0000
U 0.5000 0.5000 0.0000
N 0.0000 0.7306 0.2076
N 0.5000 0.7570 0.7910
N 0.5000 0.2430 0.2090
N 0.0000 0.2694 0.7924
Nd 0.5000 0.0000 0.5000
Nd 0.0000 0.5000 0.5000
CELL_PARAMETERS angstrom
3.5449 0.0000 0.0000
0.0000 6.1494 0.1159
0.0000 -2.1410 5.7676
```

Computed properties:
Its crystal system is monoclinic. For the total DFT energy (no corrections), the calculation gives -75.5 eV/cell. The formation energy without anion corrections is -1.48 eV/atom. Its symmetry is P2/m, No. 10.

=====

# 4
Entry from the Alexandria database: an optimized crystal structure of TbZrSb (PBE). Values from VASP.

Structure (Quantum ESPRESSO input):
```
&SYSTEM
  ibrav = 0, nat = 6, ntyp = 3
/
ATOMIC_SPECIES
Zr 91.22 Zr.upf
Sb 121.76 Sb.upf
Tb 158.93 Tb.upf
ATOMIC_POSITIONS crystal
Zr 0.5000 0.5000 0.5000
Zr 0.0000 0.0000 0.5000
Sb 0.5000 0.0000 0.7625
Sb 0.0000 0.5000 0.2375
Tb 0.0000 0.5000 0.8520
Tb 0.5000 0.0000 0.1480
CELL_PARAMETERS angstrom
-1.0110 1.0834 -4.0631
-2.7682 -3.3171 -0.1957
-6.0431 4.8778 2.8044
```

Computed properties:
Its crystal system is tetragonal. For the total DFT energy (no corrections), the calculation gives -39.5 eV/cell. The formation energy without anion corrections is -0.82 eV/atom. Its symmetry is P4/nmm, No. 129.

=====

# 5
Entry from the Alexandria database: an optimized crystal structure of Y2NiS (PBE). Values from VASP.

Structure (Quantum ESPRESSO input):
```
&SYSTEM
  ibrav = 0, nat = 4, ntyp = 3
/
ATOMIC_SPECIES
Y 88.91 Y.upf
S 32.06 S.upf
Ni 58.69 Ni.upf
ATOMIC_POSITIONS crystal
Y 0.9001 0.9001 0.2997
Y 0.0999 0.0999 0.7003
S 0.5000 0.5000 0.5000
Ni 0.0000 0.0000 0.0000
CELL_PARAMETERS angstrom
-1.5560 -2.8608 -1.5950
0.5643 -3.3345 1.3083
-7.0632 -1.2212 4.9590
```

Computed properties:
Its crystal system is trigonal. For the total DFT energy (no corrections), the calculation gives -24.6 eV/cell. The formation energy without anion corrections is -0.43 eV/atom. Its symmetry is R-3m, No. 166.

=====

# 6
Entry from the Alexandria database: an optimized crystal structure of Rb3B2O4 (PBE). Values from VASP.

Structure (Quantum ESPRESSO input):
```
&SYSTEM
  ibrav = 0, nat = 18, ntyp = 3
/
ATOMIC_SPECIES
O 16.00 O.upf
Rb 85.47 Rb.upf
B 10.81 B.upf
ATOMIC_POSITIONS crystal
O 0.3950 0.6773 0.6995
O 0.6050 0.3227 0.3005
O 0.8950 0.6995 0.6773
O 0.9618 0.3784 0.9878
O 0.5382 0.0122 0.6216
O 0.4618 0.9878 0.3784
O 0.0382 0.6216 0.0122
O 0.1050 0.3005 0.3227
Rb 0.7834 0.0085 0.3109
Rb 0.7166 0.6891 0.9915
Rb 0.2500 0.6348 0.3652
Rb 0.2166 0.9915 0.6891
Rb 0.7500 0.3652 0.6348
Rb 0.2834 0.3109 0.0085
B 0.9539 0.5845 0.8617
B 0.5461 0.1383 0.4155
B 0.0461 0.4155 0.1383
B 0.4539 0.8617 0.5845
CELL_PARAMETERS angstrom
-2.8038 1.4969 8.3331
5.5529 -7.2015 -0.6558
9.0846 -0.3201 -0.7037
```

Computed properties:
Its crystal system is monoclinic. For the total DFT energy (no corrections), the calculation gives -106.3 eV/cell. The formation energy without anion corrections is -1.89 eV/atom. Its symmetry is C2/c, No. 15.

=====

# 7
Entry from the Alexandria database: an optimized crystal structure of LiFeAs2Se (PBE). Values from VASP.

Structure (Quantum ESPRESSO input):
```
&SYSTEM
  ibrav = 0, nat = 5, ntyp = 4
/
ATOMIC_SPECIES
Fe 55.84 Fe.upf
As 74.92 As.upf
Li 6.94 Li.upf
Se 78.96 Se.upf
ATOMIC_POSITIONS crystal
Fe 0.0000 0.0000 0.0000
As 0.0000 0.5000 0.0000
As 0.5000 0.0000 0.0000
Li 0.5000 0.5000 0.5000
Se 0.0000 0.0000 0.5000
CELL_PARAMETERS angstrom
-2.6680 0.0655 3.4829
-1.9539 -3.6601 -1.4279
3.6451 -3.0577 2.8498
```

Computed properties:
Its crystal system is tetragonal. For the total DFT energy (no corrections), the calculation gives -22.8 eV/cell. The formation energy without anion corrections is 0.07 eV/atom. Its symmetry is P4/mmm, No. 123.

=====

# 8
Entry from the Alexandria database: an optimized crystal structure of La4Nd4Ho (PBE). Values from VASP.

Structure (Quantum ESPRESSO input):
```
&SYSTEM
  ibrav = 0, nat = 9, ntyp = 3
/
ATOMIC_SPECIES
La 138.91 La.upf
Nd 144.24 Nd.upf
Ho 164.93 Ho.upf
ATOMIC_POSITIONS crystal
La 0.3822 0.4440 0.7811
La 0.7268 0.1115 0.4426
La 0.6178 0.5560 0.2189
La 0.2732 0.8885 0.5574
Nd 0.9400 0.2219 0.8909
Nd 0.8286 0.6672 0.6695
Nd 0.1714 0.3328 0.3305
Nd 0.0600 0.7781 0.1091
Ho 0.5000 0.0000 0.0000
CELL_PARAMETERS angstrom
1.1903 0.5675 6.2552
-1.7199 -3.5956 5.0000
11.4475 -2.4980 3.5655
```

Computed properties:
Its crystal system is monoclinic. For the total DFT energy (no corrections), the calculation gives -43.2 eV/cell. The energy of formation from the pure elements comes out at 18 meV per atom. Its symmetry is C2/m, No. 12.

=====

# 9
Entry from the Alexandria database: an optimized crystal structure of NaHfScO4 (PBE). Values from VASP.

Structure (Quantum ESPRESSO input):
```
&SYSTEM
  ibrav = 0, nat = 28, ntyp = 4
/
ATOMIC_SPECIES
Na 22.99 Na.upf
Sc 44.96 Sc.upf
O 16.00 O.upf
Hf 178.49 Hf.upf
ATOMIC_POSITIONS crystal
Na 0.5000 0.2535 0.1075
Na 0.5000 0.7535 0.8925
Na 0.0000 0.2423 0.6036
Na 0.0000 0.7423 0.3964
Sc 0.5000 0.9217 0.6436
Sc 0.5000 0.9297 0.1376
Sc 0.5000 0.4217 0.3564
Sc 0.5000 0.4297 0.8624
O 0.5000 0.2037 0.4011
O 0.5000 0.4265 0.6724
O 0.0000 0.7902 0.0954
O 0.0000 0.2902 0.9046
O 0.5000 0.5224 0.0344
O 0.0000 0.8897 0.7676
O 0.5000 0.0224 0.9656
O 0.5000 0.6192 0.2630
O 0.0000 0.0712 0.1796
O 0.5000 0.7037 0.5989
O 0.0000 0.9830 0.5326
O 0.0000 0.3897 0.2324
O 0.0000 0.5712 0.8204
O 0.5000 0.9265 0.3276
O 0.0000 0.4830 0.4674
O 0.5000 0.1192 0.7370
Hf 0.0000 0.5659 0.6374
Hf 0.0000 0.5808 0.1431
Hf 0.0000 0.0808 0.8569
Hf 0.0000 0.0659 0.3626
CELL_PARAMETERS angstrom
3.1849 0.0000 0.0000
0.0000 9.6104 0.0000
0.0000 0.0000 11.3022
```

Computed properties:
Its crystal system is orthorhombic. For the total DFT energy (no corrections), the calculation gives -238.1 eV/cell. The formation energy without anion corrections is -3.15 eV/atom. Its symmetry is Pmc2_1, No. 26.

=====

# 10
Entry from the Alexandria database: an optimized crystal structure of Pa2Pt13 (PBE). Values from VASP.

Structure (Quantum ESPRESSO input):
```
&SYSTEM
  ibrav = 0, nat = 15, ntyp = 2
/
ATOMIC_SPECIES
Pt 195.08 Pt.upf
Pa 231.04 Pa.upf
ATOMIC_POSITIONS crystal
Pt 0.5208 0.1322 0.8262
Pt 0.4792 0.8678 0.1738
Pt 0.5000 0.5000 0.5000
Pt 0.2490 0.2490 0.6184
Pt 0.7510 0.1164 0.3816
Pt 0.4792 0.4792 0.1738
Pt 0.1164 0.7510 0.3816
Pt 0.8836 0.2490 0.6184
Pt 0.1322 0.5208 0.8262
Pt 0.2490 0.8836 0.6184
Pt 0.5208 0.5208 0.8262
Pt 0.7510 0.7510 0.3816
Pt 0.8678 0.4792 0.1738
Pa 0.7565 0.7565 0.7304
Pa 0.2435 0.2435 0.2696
CELL_PARAMETERS angstrom
-2.6748 -3.7532 -5.6046
-5.1292 -5.0118 1.1069
-7.4880 1.8838 -2.3851
```

Computed properties:
Its crystal system is trigonal. For the total DFT energy (no corrections), the calculation gives -100.8 eV/cell. The energy of formation from the pure elements comes out at -220 meV per atom. Its symmetry is R-3m, No. 166.

=====

# 11
Entry from the Alexandria database: an optimized crystal structure of Ce2Al4AgPt3 (PBE). Values from VASP.

Structure (Quantum ESPRESSO input):
```
&SYSTEM
  ibrav = 0, nat = 10, ntyp = 4
/
ATOMIC_SPECIES
Ce 140.12 Ce.upf
Ag 107.87 Ag.upf
Al 26.98 Al.upf
Pt 195.08 Pt.upf
ATOMIC_POSITIONS crystal
Ce 0.0000 0.5000 0.7579
Ce 0.5000 0.0000 0.2421
Ag 0.5000 0.5000 0.5000
Al 0.0000 0.0000 0.0000
Al 0.0000 0.5000 0.3673
Al 0.5000 0.0000 0.6327
Al 0.5000 0.5000 0.0000
Pt 0.5000 0.0000 0.8678
Pt 0.0000 0.5000 0.1322
Pt 0.0000 0.0000 0.5000
CELL_PARAMETERS angstrom
-0.9395 -0.6856 4.1347
1.7179 -3.9280 -0.2609
9.3728 3.9147 2.7787
```

Computed properties:
Its crystal system is tetragonal. For the total DFT energy (no corrections), the calculation gives -56.8 eV/cell. The energy of formation from the pure elements comes out at -903 meV per atom. Its symmetry is P-4m2, No. 115.

=====

# 12
Entry from the Alexandria database: an optimized crystal structure of Zn2GePdSe (PBE). Values from VASP.

Structure (Quantum ESPRESSO input):
```
&SYSTEM
  ibrav = 0, nat = 5, ntyp = 4
/
ATOMIC_SPECIES
Pd 106.42 Pd.upf
Zn 65.41 Zn.upf
Se 78.96 Se.upf
Ge 72.64 Ge.upf
ATOMIC_POSITIONS crystal
Pd 0.5000 0.5000 0.5000
Zn 0.5000 0.0000 0.0000
Zn 0.0000 0.0000 0.5000
Se 0.0000 0.5000 0.0000
Ge 0.0000 0.0000 0.0000
CELL_PARAMETERS angstrom
4.5951 0.0000 0.0000
0.0000 5.3195 0.0000
0.0000 0.0000 4.5951
```

Computed properties:
Its crystal system is tetragonal. For the total DFT energy (no corrections), the calculation gives -13.3 eV/cell. The formation energy without anion corrections is 0.52 eV/atom. Its symmetry is P4/mmm, No. 123.